1.
A relaxed structure of YFePb2, computed with PBE.

Unit cell a=4.6518 b=4.6518 c=4.4857 alpha=90.00 beta=90.00 gamma=90.00
Element x y z (fractional)
1 Y 0.0000 0.0000 0.0000
2 Fe 0.5000 0.5000 0.0000
3 Pb 0.0000 0.5000 0.5000
4 Pb 0.5000 0.0000 0.5000

- E (eV/atom) = -5.520
- space group = P4/mmm, No. 123
- ΔE to the lowest computed polymorph (eV/atom) = 0.000
- Fermi-level density of states (states/eV per cell) = 3.03


2.
A relaxed structure of ZnFePb2, computed with PBE.

Unit cell a=10.4921 b=3.2332 c=5.8221 alpha=90.00 beta=114.07 gamma=90.00
Element x y z (fractional)
1 Zn 0.0000 0.0000 0.0000
2 Zn 0.5000 0.5000 0.0000
3 Fe 0.1594 0.5000 0.3327
4 Fe 0.6594 0.0000 0.3327
5 Pb 0.2203 0.0000 0.7875
6 Pb 0.4054 0.0000 0.4148
7 Pb 0.7203 0.5000 0.7875
8 Pb 0.9054 0.5000 0.4148

- E (eV/atom) = -3.878
- space group = Cm, No. 8
- Fermi-level density of states (states/eV per cell) = 6.70


3.
A relaxed structure of Zn2FePb, computed with PBE.

Unit cell a=5.4433 b=8.4639 c=3.1355 alpha=90.00 beta=90.53 gamma=90.00
Element x y z (fractional)
1 Zn 0.2500 0.2500 0.0000
2 Zn 0.2500 0.7500 0.0000
3 Zn 0.7500 0.2500 0.0000
4 Zn 0.7500 0.7500 0.0000
5 Fe 0.0000 0.0000 0.5000
6 Fe 0.5000 0.5000 0.5000
7 Pb 0.0000 0.5000 0.5000
8 Pb 0.5000 0.0000 0.5000

- E (eV/atom) = -3.259
- space group = C2/m, No. 12
- Fermi-level density of states (states/eV per cell) = 5.10


4.
A relaxed structure of Zn2FePb, computed with PBE.

Unit cell a=3.1627 b=4.3621 c=5.4847 alpha=90.00 beta=103.87 gamma=90.00
Element x y z (fractional)
1 Zn 0.1351 0.0000 0.3012
2 Zn 0.8649 0.0000 0.6988
3 Fe 0.5000 0.5000 0.5000
4 Pb 0.5000 0.5000 0.0000

- E (eV/atom) = -3.310
- space group = P2/m, No. 10
- Fermi-level density of states (states/eV per cell) = 2.70